Below is a relaxed Pr5Hg4Rh crystal, with properties calculated at the PBE level.

Cell lengths 3.775, 3.775, 19.341 Å; angles 90.00, 90.00, 90.00 degrees
Last column: magnetic moment on the atom in μB.
Fractional positions:
Pr: 0.500 0.500 0.085  0.01
Pr: 0.500 0.500 0.293  0.15
Pr: 0.500 0.500 0.500  0.15
Pr: 0.500 0.500 0.707  0.15
Pr: 0.500 0.500 0.915  0.01
Hg: 0.000 0.000 0.193  0.01
Hg: 0.000 0.000 0.397  0.01
Hg: 0.000 0.000 0.603  0.01
Hg: 0.000 0.000 0.807  0.01
Rh: 0.000 0.000 0.000  -0.01

- total magnetization (μB/cell) = 1.0
- energy of formation from the pure elements (eV/atom) = -0.493